Here is a relaxed structure of WSeO from Alexandria via LeMat-Bulk. Energies are from PBE with a Hubbard U.

a = 3.167 Å, b = 6.223 Å, c = 7.494 Å
α = 59.50°, β = 77.80°, γ = 75.26°
Site moments in Bohr magnetons follow the coordinates.
Atoms (fractional coordinates):
W: 0.379 0.774 0.468  0.60
W: 0.621 0.226 0.532  0.60
Se: 0.825 0.132 0.218  -0.05
Se: 0.175 0.868 0.782  -0.05
O: 0.548 0.594 0.311  0.00
O: 0.452 0.406 0.689  0.00

Summary:
As for the density of states at the Fermi level: 1.45 states/eV/cell. The space-group type is C2/m (12). The total energy comes out at -5.745 eV/atom. As for the total magnetization: 0.61 μB/f.u.